# 1
Computed, not measured: a geometry-optimized Rb2LaPbCl6 structure at the PBE level of DFT.

Its formation energy (no corrections) is -1738 meV/atom.

The structure belongs to space group I4/mmm (No. 139); the cell edges are 8.009, 8.009 and 12.821 Å and the angles 90.00°, 90.00° and 90.00°. The inequivalent atoms are Rb at (0.000, 0.500, 0.250), La at (0.000, 0.000, 0.000), Pb at (0.000, 0.000, 0.500), Cl at (0.000, 0.000, 0.216) and Cl at (0.245, 0.245, 0.000).

=====

# 2
Computed, not measured: a geometry-optimized KNa2SiAu structure at the PBE level of DFT.

Its formation energy (no corrections) is -59 meV/atom.

The structure belongs to space group P4/mmm (No. 123); the cell edges are 5.708, 5.708 and 4.707 Å and the angles 90.00°, 90.00° and 90.00°. The inequivalent atoms are K at (0.000, 0.000, 0.000), Na at (0.000, 0.500, 0.500), Si at (0.500, 0.500, 0.000) and Au at (0.500, 0.500, 0.500).

=====

# 3
Computed, not measured: a geometry-optimized MgIn3Pt2 structure at the PBE level of DFT.

As for the formation energy: -47.6 kJ per mole of atoms.

The structure belongs to space group Pmc2_1 (No. 26); the cell edges are 3.690, 9.392 and 7.090 Å and the angles 90.00°, 90.00° and 90.00°. The inequivalent atoms are Mg at (0.000, 0.065, 0.000), In at (0.000, 0.301, 0.662), In at (0.500, 0.190, 0.328), In at (0.500, 0.419, 0.991), Pt at (0.000, 0.411, 0.290) and Pt at (0.500, 0.087, 0.712).

=====

# 4
Computed, not measured: a geometry-optimized NdMgZnIr structure at the PBE level of DFT.

As for the formation energy: -30.7 kJ per mole of atoms.

The structure belongs to space group F-43m (No. 216); the cell edges are 6.861, 6.861 and 6.861 Å and the angles 90.00°, 90.00° and 90.00°. The inequivalent atoms are Nd at (0.000, 0.000, 0.000), Mg at (0.000, 0.000, 0.500), Zn at (0.250, 0.250, 0.750) and Ir at (0.250, 0.250, 0.250).

=====

# 5
Computed, not measured: a geometry-optimized YAgAs2 structure at the PBE level of DFT.

As for the formation energy: -38.3 kJ per mole of atoms.

The structure belongs to space group P4/mmm (No. 123); the cell edges are 3.843, 3.843 and 6.165 Å and the angles 90.00°, 90.00° and 90.00°. The inequivalent atoms are Y at (0.000, 0.000, 0.000), Ag at (0.000, 0.000, 0.500) and As at (0.500, 0.500, 0.209).

=====

# 6
Computed, not measured: a geometry-optimized Pm4Pr11Ho9 structure at the PBE level of DFT.

As for the formation energy: 6.0 kJ per mole of atoms.

The structure belongs to space group Cmmm (No. 65); the cell edges are 17.089, 25.825 and 3.725 Å and the angles 90.00°, 90.00° and 90.00°. The inequivalent atoms are Pm at (0.156, 0.101, 0.000), Pr at (0.000, 0.133, 0.500), Pr at (0.000, 0.340, 0.500), Pr at (0.000, 0.500, 0.500), Pr at (0.210, 0.000, 0.500), Pr at (0.225, 0.319, 0.500), Ho at (0.000, 0.000, 0.000), Ho at (0.101, 0.234, 0.000) and Ho at (0.139, 0.427, 0.000).

=====

# 7
Computed, not measured: a geometry-optimized CsMgPbF6 structure at the PBE level of DFT.

Its formation energy (no corrections) is -2718 meV/atom.

The structure belongs to space group P312 (No. 149); the cell edges are 5.8571, 5.8571 and 6.3707 Å and the angles 90.00°, 90.00° and 120.00°. The inequivalent atoms are Cs at (0.0000, 0.0000, 0.0000), Mg at (0.3333, 0.6667, 0.5000), Pb at (0.6667, 0.3333, 0.5000) and F at (0.0305, 0.4043, 0.6833).

=====

# 8
Computed, not measured: a geometry-optimized AcPmPdAu structure at the PBE level of DFT.

As for the formation energy: -76.6 kJ per mole of atoms. Its energy above the most stable polymorph in this dataset is 0 meV per atom.

The structure belongs to space group Amm2 (No. 38); the cell edges are 4.879, 4.032 and 11.164 Å and the angles 90.00°, 90.00° and 90.00°. The inequivalent atoms are Ac at (0.000, 0.000, 0.000), Pm at (0.500, 0.000, 0.726), Pd at (0.000, 0.000, 0.274) and Au at (0.500, 0.000, 0.442).

=====

# 9
Computed, not measured: a geometry-optimized CsDyTe2Au structure at the PBE level of DFT.

Its formation energy (no corrections) is -879 meV/atom.

The structure belongs to space group P2/c (No. 13); the cell edges are 9.145, 4.835 and 8.607 Å and the angles 90.00°, 94.64° and 90.00°. The inequivalent atoms are Cs at (0.000, 0.094, 0.250), Dy at (0.500, 0.497, 0.750), Te at (0.271, 0.377, 0.981) and Au at (0.500, 0.000, 0.000).

=====

# 10
Computed, not measured: a geometry-optimized K2Rb4AlAs2 structure at the PBE level of DFT.

As for the formation energy: -18.5 kJ per mole of atoms.

The structure belongs to space group C2/m (No. 12); the cell edges are 15.450, 14.146 and 5.317 Å and the angles 90.00°, 101.99° and 90.00°. The inequivalent atoms are K at (0.127, 0.000, 0.317), Rb at (0.143, 0.341, 0.117), Al at (0.000, 0.500, 0.500) and As at (0.152, 0.500, 0.622).

=====

# 11
Computed, not measured: a geometry-optimized Tb2Dy4ThMg structure at the PBE level of DFT.

As for the formation energy: 11.4 kJ per mole of atoms.

The structure belongs to space group P4/mmm (No. 123); the cell edges are 5.829, 5.829 and 7.285 Å and the angles 90.00°, 90.00° and 90.00°. The inequivalent atoms are Tb at (0.000, 0.000, 0.000), Tb at (0.500, 0.500, 0.000), Dy at (0.000, 0.500, 0.259), Th at (0.000, 0.000, 0.500) and Mg at (0.500, 0.500, 0.500).

=====

# 12
Computed, not measured: a geometry-optimized NpSc3Ag3Se8 structure at the PBE level of DFT.

Its formation energy (no corrections) is -1043 meV/atom.

The structure belongs to space group C2/m (No. 12); the cell edges are 13.742, 7.979 and 7.967 Å and the angles 90.00°, 125.09° and 90.00°. The inequivalent atoms are Np at (0.000, 0.000, 0.000), Sc at (0.000, 0.500, 0.000), Sc at (0.250, 0.250, 0.500), Ag at (0.000, 0.000, 0.500), Ag at (0.250, 0.250, 0.000), Se at (0.007, 0.259, 0.251), Se at (0.245, 0.500, 0.256) and Se at (0.248, 0.500, 0.732).

=====

| no. | spin magnetization (μB per cell) |
| --- | --- |
| 1 | 2.000 |
| 2 | 0.000 |
| 3 | 0.000 |
| 4 | 0.000 |
| 5 | 0.000 |
| 6 | 0.000 |
| 7 | 0.632 |
| 8 | 0.000 |
| 9 | 0.000 |
| 10 | 0.000 |
| 11 | 0.002 |
| 12 | 5.999 |